(1)
## Ho4Mg5Au2 (PBE)

Data for an optimized crystal structure of Ho4Mg5Au2.

a b c (Å): 3.5337 7.8572 10.1410
angles (deg): 92.84 90.00 90.00
With the nearest neighbours (Å) after each atom.
Fractional positions:
Mg: 0.0000 0.5000 0.0000  4 Mg 2.97-3.14
Mg: 0.0000 0.4458 0.6915  1 Au 3.01, 2 Mg 3.14-3.15
Mg: 0.0000 0.1929 0.1601  1 Au 2.91, 2 Mg 2.97-3.15
Mg: 0.0000 0.5542 0.3085  1 Au 3.01, 2 Mg 3.14-3.15
Mg: 0.0000 0.8071 0.8399  1 Au 2.91, 2 Mg 2.97-3.15
Ho: 0.5000 0.8389 0.1318  2 Au 2.95, 2 Mg 3.30
Ho: 0.5000 0.7666 0.5506  4 Au 3.00-3.04
Ho: 0.5000 0.2334 0.4494  4 Au 3.00-3.04
Ho: 0.5000 0.1611 0.8682  2 Au 2.95, 2 Mg 3.30
Au: 0.0000 0.0642 0.6435  2 Mg 2.91-3.01, 6 Ho 2.95-3.04, 1 Au 3.03
Au: 0.0000 0.9358 0.3565  2 Mg 2.91-3.01, 6 Ho 2.95-3.04, 1 Au 3.03

Summary:
The calculation puts the total energy at -0.12170 hartree per atom. As for the volume: 281 Å³/cell. The value obtained for the formation enthalpy at 0 K is -0.326 eV/atom. The calculation puts the theoretical density at 6.94 Mg/m³. For the total moment, the calculation gives 0.00 μB per formula unit. As for the density of states at the Fermi level: 0.6105 states/eV/atom. As for the crystal system: monoclinic.

***

(2)
## Tb5Tm3Th (PBE)

Data for an optimized crystal structure of Tb5Tm3Th.

a b c (Å): 7.7664 7.7664 11.1050
angles (deg): 110.47 110.47 90.00
With the nearest neighbours (Å) after each atom.
Fractional positions:
Tm: 0.2500 0.2500 0.5000  8 Tb 3.62, 4 Th 3.88
Tm: 0.3693 0.8693 0.0000  1 Tm 2.87, 4 Tb 3.04-3.10
Tm: 0.7500 0.7500 0.5000  8 Tb 3.62, 4 Th 3.88
Tm: 0.1307 0.3693 0.0000  1 Tm 2.87, 4 Tb 3.04-3.10
Tm: 0.8693 0.6307 0.0000  1 Tm 2.87, 4 Tb 3.04-3.10
Tm: 0.6307 0.1307 0.0000  1 Tm 2.87, 4 Tb 3.04-3.10
Tb: 0.5743 0.6641 0.7384  1 Tm 3.10, 1 Th 3.22
Tb: 0.6641 0.1641 0.7384  1 Tm 3.10, 1 Th 3.22
Tb: 0.4257 0.3359 0.2616  1 Tm 3.10, 1 Th 3.22
Tb: 0.5000 0.5000 0.0000  4 Tm 3.04
Tb: 0.0000 0.0000 0.0000  4 Tm 3.04
Tb: 0.0743 0.5743 0.7384  1 Tm 3.10, 1 Th 3.22
Tb: 0.3359 0.8359 0.2616  1 Tm 3.10, 1 Th 3.22
Tb: 0.8359 0.9257 0.2616  1 Tm 3.10, 1 Th 3.22
Tb: 0.1641 0.0743 0.7384  1 Tm 3.10, 1 Th 3.22
Tb: 0.9257 0.4257 0.2616  1 Tm 3.10, 1 Th 3.22
Th: 0.7500 0.2500 0.5000  4 Tb 3.22
Th: 0.2500 0.7500 0.5000  4 Tb 3.22

Summary:
The calculation puts the total energy at -0.16777 hartree per atom. As for the volume: 582 Å³/cell. The value obtained for the formation enthalpy at 0 K is 0.322 eV/atom. The calculation puts the theoretical density at 8.75 Mg/m³. For the total moment, the calculation gives 0.00 μB per formula unit. As for the density of states at the Fermi level: 1.4302 states/eV/atom. As for the crystal system: tetragonal.